VASP calculation (PBE) on a relaxed structure of InHgAsPb.

```
InHgAsPb
1.0
0.000 3.755 3.755
3.755 0.000 3.755
3.755 3.755 0.000
In Hg As Pb
1 1 1 1
direct
0.000 0.000 0.000 In
0.250 0.250 0.250 Hg
0.750 0.750 0.750 As
0.500 0.500 0.500 Pb
```

VASP energy, eV/atom: -2.756
Space group: No. 216
DFT formation energy, meV per atom: 94
Density, Mg/m³: 9.4
Volume, A^3/atom: 26.48